Here is a geometry-optimized Ba3Li2Mg structure from Alexandria via LeMat-Bulk. Energies are from PBE-GGA.

It has space group P4/mmm (No. 123), with a = 4.381 Å, b = 4.381 Å, c = 13.372 Å, α = 90.00°, β = 90.00° and γ = 90.00°. The distinct sites, in fractional coordinates, are Ba at (0.000, 0.000, 0.000), Ba at (0.000, 0.000, 0.338), Li at (0.500, 0.500, 0.170) and Mg at (0.500, 0.500, 0.500).

The formation energy is 6 kJ/mol of formula units. For the density of states at the Fermi level, the calculation gives 8.4 states/eV/cell. Its total moment is 0.000 μB/atom.